Record 1
Material: BaHf3Tc
Method: DFT, GGA-PBE
State: relaxed

It has space group Pm-3m (No. 221), with a = 5.167 Å, b = 5.167 Å, c = 5.167 Å, α = 90.00°, β = 90.00° and γ = 90.00°. The asymmetric unit holds Ba at (0.000, 0.000, 0.000), Hf at (0.000, 0.500, 0.500) and Tc at (0.500, 0.500, 0.500).

Its calculated formation energy is 0.384 eV/atom. The value obtained for the theoretical density is 9.3 g cm⁻³.

Record 2
Material: BaHfTc
Method: DFT, GGA-PBE
State: relaxed

It has space group P2_1/m (No. 11), with a = 3.639 Å, b = 3.671 Å, c = 12.766 Å, α = 90.00°, β = 97.67° and γ = 90.00°. The asymmetric unit holds Ba at (0.089, 0.250, 0.159), Hf at (0.218, 0.250, 0.431) and Tc at (0.320, 0.250, 0.649).

Its calculated formation energy is 0.082 eV/atom. The value obtained for the theoretical density is 8.1 g cm⁻³.

Record 3
Material: BaHfTc
Method: DFT, GGA-PBE
State: relaxed

It has space group Pm (No. 6), with a = 3.388 Å, b = 4.405 Å, c = 11.751 Å, α = 90.00°, β = 98.08° and γ = 90.00°. The asymmetric unit holds Ba at (0.000, 0.000, 0.000), Ba at (0.323, 0.500, 0.693), Hf at (0.693, 0.500, 0.248), Hf at (0.788, 0.000, 0.445), Tc at (0.203, 0.000, 0.251) and Tc at (0.296, 0.500, 0.442).

Its calculated formation energy is 0.096 eV/atom. The value obtained for the theoretical density is 7.9 g cm⁻³.